Below is a relaxed structure of Zn2Mo2O, with properties calculated at the GGA+U level.

density of states at the Fermi level: 2.7 states/eV/f.u.
energy above the lowest structure with this stoichiometry: 1.62 eV per formula unit

Lattice parameters (Å, degrees): 3.524 3.524 7.449 76.32 76.32 90.00
Site moments in Bohr magnetons follow the coordinates.
Fractional positions:
1 Mo 0.750 0.250 0.500  0.73
2 Mo 0.250 0.750 0.500  0.73
3 Zn 0.412 0.412 0.176  0.01
4 Zn 0.588 0.588 0.824  0.01
5 O 0.000 0.000 0.000  0.07